The following is a PBE calculation of an optimized crystal structure of Pr4In2Bi, from the Alexandria database.

Properties
**Energy of formation from the pure elements**: -3.21 eV/f.u.

Lattice parameters (Å, degrees): 7.1640 11.5539 5.6921 90.00 90.00 90.00
Space group Cmmm (No. 65)
Inequivalent atoms, fractional coordinates:
Pr  0.2430  0.0000  0.0000
Pr  0.2500  0.2500  0.5000
In  0.0000  0.2671  0.0000
Bi  0.0000  0.0000  0.5000